1.
# Li2MnSi

An optimized crystal structure of Li2MnSi (GGA-PBE, the Alexandria database).

Calculated values
* DOS at the Fermi energy: 2.4 states/eV/f.u.
* uncorrected energy: -4.409 eV per atom

```
Li2MnSi
1.0
3.375 0.000 0.000
0.000 3.496 0.000
0.000 0.000 8.549
Li Mn Si
4 2 2
Direct
0.000 0.000 0.243
0.000 0.000 0.757
0.500 0.500 0.243
0.500 0.500 0.757
0.000 0.500 0.500
0.500 0.000 0.500
0.000 0.500 0.000
0.500 0.000 0.000
```



2.
# Li2MnSi

An optimized crystal structure of Li2MnSi (GGA-PBE, the Alexandria database).

Calculated values
* DOS at the Fermi energy: 2.2 states/eV/f.u.
* uncorrected energy: -4.611 eV per atom

```
Li2MnSi
1.0
8.693 0.000 0.000
0.000 2.714 0.000
-0.953 0.000 4.712
Li Mn Si
4 2 2
Direct
0.000 0.000 0.000
0.235 0.000 0.805
0.500 0.500 0.000
0.735 0.500 0.805
0.266 0.500 0.343
0.766 0.000 0.343
0.003 0.500 0.476
0.503 0.000 0.476
```



3.
# Li2MnSi

An optimized crystal structure of Li2MnSi (GGA-PBE, the Alexandria database).

Calculated values
* DOS at the Fermi energy: 1.9 states/eV/f.u.
* uncorrected energy: -4.688 eV per atom

```
Li2MnSi
1.0
3.534 0.000 0.000
0.000 3.534 0.000
0.000 0.000 4.334
Li Mn Si
2 1 1
Direct
0.000 0.500 0.000
0.500 0.000 0.000
0.000 0.000 0.500
0.500 0.500 0.500
```



4.
# LiMn2Si

An optimized crystal structure of LiMn2Si (GGA-PBE, the Alexandria database).

Calculated values
* DOS at the Fermi energy: 4.2 states/eV/f.u.
* uncorrected energy: -6.049 eV per atom

```
LiMn2Si
1.0
6.552 0.000 0.000
0.000 6.552 0.000
0.000 0.000 5.052
Li Mn Si
4 8 4
Direct
0.000 0.000 0.000
0.000 0.500 0.250
0.500 0.000 0.750
0.500 0.500 0.500
0.235 0.750 0.625
0.250 0.235 0.375
0.250 0.265 0.875
0.265 0.750 0.125
0.735 0.250 0.125
0.750 0.735 0.875
0.750 0.765 0.375
0.765 0.250 0.625
0.000 0.000 0.500
0.000 0.500 0.750
0.500 0.000 0.250
0.500 0.500 0.000
```